[1]
{
  "formula": "NaHfOs2I",
  "functional": "GGA-PBEsol",
  "state": "relaxed",
  "lattice": [[4.793, 0.000, 0.000], [0.000, 4.793, 0.000], [0.000, 0.000, 6.147]],
  "species": ["I", "Hf", "Os", "Os", "Na"],
  "frac_coords": [[0.500, 0.500, 0.500], [0.000, 0.000, 0.000], [0.000, 0.500, 0.000], [0.500, 0.000, 0.000], [0.000, 0.000, 0.500]],
  "volume_a3_per_cell": 141.20,
  "space_group": "P4/mmm, No. 123",
  "crystal_system": "tetragonal"
}

[2]
{
  "formula": "Ag2As2Pt",
  "functional": "GGA-PBEsol",
  "state": "relaxed",
  "lattice": [[4.826, 0.000, 0.000], [0.000, 6.262, 0.000], [0.000, 0.000, 6.262]],
  "species": ["As", "As", "As", "As", "Ag", "Ag", "Ag", "Ag", "Pt", "Pt"],
  "frac_coords": [[0.000, 0.363, 0.863], [0.000, 0.863, 0.637], [0.000, 0.637, 0.137], [0.000, 0.137, 0.363], [0.500, 0.267, 0.767], [0.500, 0.767, 0.733], [0.500, 0.733, 0.233], [0.500, 0.233, 0.267], [0.000, 0.000, 0.000], [0.000, 0.500, 0.500]],
  "volume_a3_per_cell": 189.25,
  "space_group": "P4/mbm, No. 127",
  "formation_energy_kj_per_mol_fu": 14.7,
  "crystal_system": "tetragonal"
}

[3]
{
  "formula": "Hf2InRh2",
  "functional": "GGA-PBEsol",
  "state": "relaxed",
  "lattice": [[-2.336, 2.015, 3.130], [2.481, -1.912, 3.082], [3.226, 3.996, -3.250]],
  "species": ["Rh", "Rh", "Hf", "Hf", "In"],
  "frac_coords": [[0.382, 0.382, 0.765], [0.618, 0.618, 0.235], [0.250, 0.750, 0.500], [0.750, 0.250, 0.500], [0.000, 0.000, 0.000]],
  "volume_a3_per_cell": 100.86,
  "space_group": "I4/mmm, No. 139",
  "formation_energy_kj_per_mol_fu": -209.9,
  "crystal_system": "tetragonal"
}

[4]
{
  "formula": "Ca2TlReSb",
  "functional": "GGA-PBEsol",
  "state": "relaxed",
  "lattice": [[5.210, 0.000, 0.000], [0.000, 5.420, 0.000], [0.000, 0.000, 5.420]],
  "species": ["Re", "Tl", "Ca", "Ca", "Sb"],
  "frac_coords": [[0.000, 0.000, 0.000], [0.500, 0.000, 0.000], [0.000, 0.000, 0.500], [0.000, 0.500, 0.000], [0.500, 0.500, 0.500]],
  "volume_a3_per_cell": 153.04,
  "space_group": "P4/mmm, No. 123",
  "crystal_system": "tetragonal"
}

[5]
{
  "formula": "KOsPb2",
  "functional": "GGA-PBEsol",
  "state": "relaxed",
  "lattice": [[3.238, 0.000, 0.000], [0.000, 4.283, 0.000], [0.000, 0.000, 8.499]],
  "species": ["K", "Os", "Pb", "Pb"],
  "frac_coords": [[0.000, 0.000, 0.505], [0.500, 0.500, 0.892], [0.000, 0.000, 0.897], [0.500, 0.500, 0.207]],
  "volume_a3_per_cell": 117.87,
  "e_above_lowest_polymorph_mev_per_atom": 106.8,
  "space_group": "Pmm2, No. 25",
  "formation_energy_kj_per_mol_fu": 244.0,
  "crystal_system": "orthorhombic"
}

[6]
{
  "formula": "BaRhSeBr2",
  "functional": "GGA-PBEsol",
  "state": "relaxed",
  "lattice": [[4.937, 0.000, 0.000], [0.000, 5.087, 0.000], [0.000, 0.000, 5.087]],
  "species": ["Se", "Rh", "Ba", "Br", "Br"],
  "frac_coords": [[0.500, 0.000, 0.000], [0.000, 0.000, 0.000], [0.500, 0.500, 0.500], [0.000, 0.000, 0.500], [0.000, 0.500, 0.000]],
  "volume_a3_per_cell": 127.77,
  "space_group": "P4/mmm, No. 123",
  "crystal_system": "tetragonal"
}

[7]
{
  "formula": "Sr3ScB3O9",
  "functional": "GGA-PBEsol",
  "state": "relaxed",
  "lattice": [[7.603, 0.011, 0.017], [-1.964, 7.344, 0.017], [-1.964, -2.562, 6.883]],
  "species": ["Sr", "Sr", "Sr", "Sr", "Sr", "Sr", "Sc", "Sc", "B", "B", "B", "B", "B", "B", "O", "O", "O", "O", "O", "O", "O", "O", "O", "O", "O", "O", "O", "O", "O", "O", "O", "O"],
  "frac_coords": [[0.261, 0.651, 0.162], [0.162, 0.261, 0.651], [0.651, 0.162, 0.261], [0.739, 0.349, 0.838], [0.838, 0.739, 0.349], [0.349, 0.838, 0.739], [0.000, 0.000, 0.000], [0.500, 0.500, 0.500], [0.040, 0.369, 0.290], [0.290, 0.040, 0.369], [0.369, 0.290, 0.040], [0.710, 0.960, 0.631], [0.631, 0.710, 0.960], [0.960, 0.631, 0.710], [0.262, 0.985, 0.171], [0.171, 0.262, 0.985], [0.191, 0.919, 0.444], [0.919, 0.444, 0.191], [0.444, 0.191, 0.919], [0.556, 0.809, 0.081], [0.809, 0.081, 0.556], [0.081, 0.556, 0.809], [0.433, 0.215, 0.493], [0.215, 0.493, 0.433], [0.493, 0.433, 0.215], [0.567, 0.785, 0.507], [0.785, 0.507, 0.567], [0.507, 0.567, 0.785], [0.015, 0.829, 0.738], [0.829, 0.738, 0.015], [0.738, 0.015, 0.829], [0.985, 0.171, 0.262]],
  "volume_a3_per_cell": 385.12,
  "space_group": "R-3, No. 148",
  "crystal_system": "trigonal"
}

[8]
{
  "formula": "Sr2ZrHg",
  "functional": "GGA-PBEsol",
  "state": "relaxed",
  "lattice": [[-3.180, 2.140, 0.204], [-1.130, -2.103, 4.454], [4.982, 3.676, 3.000]],
  "species": ["Hg", "Sr", "Sr", "Zr"],
  "frac_coords": [[0.428, 0.500, 0.732], [0.034, 0.000, 0.944], [0.714, 0.500, 0.303], [0.324, 0.000, 0.522]],
  "volume_a3_per_cell": 128.15,
  "space_group": "Amm2, No. 38",
  "formation_energy_kj_per_mol_fu": 46.8,
  "crystal_system": "orthorhombic"
}

[9]
{
  "formula": "Y2ScHg",
  "functional": "GGA-PBEsol",
  "state": "relaxed",
  "lattice": [[3.646, 0.000, 0.000], [0.000, 5.128, 0.000], [-1.823, -2.564, 5.518]],
  "species": ["Y", "Y", "Sc", "Hg"],
  "frac_coords": [[0.997, 0.997, 0.994], [0.776, 0.276, 0.552], [0.216, 0.716, 0.433], [0.511, 0.511, 0.022]],
  "volume_a3_per_cell": 103.17,
  "space_group": "Imm2, No. 44",
  "formation_energy_kj_per_mol_fu": -115.0,
  "crystal_system": "orthorhombic"
}

[10]
{
  "formula": "LiTe2RhW",
  "functional": "GGA-PBEsol",
  "state": "relaxed",
  "lattice": [[4.643, 0.000, 0.000], [0.000, 5.073, 0.000], [0.000, 0.000, 5.073]],
  "species": ["Te", "Te", "Rh", "W", "Li"],
  "frac_coords": [[0.000, 0.000, 0.500], [0.000, 0.500, 0.000], [0.500, 0.500, 0.500], [0.000, 0.000, 0.000], [0.500, 0.000, 0.000]],
  "volume_a3_per_cell": 119.50,
  "space_group": "P4/mmm, No. 123",
  "crystal_system": "tetragonal"
}

[11]
{
  "formula": "TaTe2PtN",
  "functional": "GGA-PBEsol",
  "state": "relaxed",
  "lattice": [[3.800, 0.000, 0.000], [0.000, 5.371, 0.000], [0.000, 0.000, 5.371]],
  "species": ["N", "Te", "Te", "Pt", "Ta"],
  "frac_coords": [[0.500, 0.000, 0.000], [0.000, 0.000, 0.500], [0.000, 0.500, 0.000], [0.500, 0.500, 0.500], [0.000, 0.000, 0.000]],
  "volume_a3_per_cell": 109.60,
  "space_group": "P4/mmm, No. 123",
  "crystal_system": "tetragonal"
}

[12]
{
  "formula": "Li2V3P4H4O19",
  "functional": "GGA-PBEsol",
  "state": "relaxed",
  "lattice": [[8.588, 0.000, 0.005], [0.000, 9.209, 0.000], [-4.191, 0.000, 9.372]],
  "species": ["Li", "Li", "Li", "Li", "V", "V", "V", "V", "V", "V", "P", "P", "P", "P", "P", "P", "P", "P", "H", "H", "H", "H", "H", "H", "H", "H", "O", "O", "O", "O", "O", "O", "O", "O", "O", "O", "O", "O", "O", "O", "O", "O", "O", "O", "O", "O", "O", "O", "O", "O", "O", "O", "O", "O", "O", "O", "O", "O", "O", "O", "O", "O", "O", "O"],
  "frac_coords": [[0.740, 0.540, 0.991], [0.240, 0.460, 0.991], [0.149, 0.739, 0.449], [0.649, 0.261, 0.449], [0.660, 0.755, 0.781], [0.160, 0.245, 0.781], [0.275, 0.260, 0.496], [0.775, 0.740, 0.496], [0.827, 0.758, 0.174], [0.327, 0.242, 0.174], [0.464, 0.052, 0.769], [0.366, 0.513, 0.732], [0.964, 0.948, 0.769], [0.866, 0.487, 0.732], [0.117, 0.490, 0.257], [0.069, 0.038, 0.254], [0.617, 0.510, 0.257], [0.569, 0.962, 0.254], [0.734, 0.060, 0.883], [0.592, 0.407, 0.643], [0.234, 0.940, 0.883], [0.092, 0.593, 0.643], [0.886, 0.403, 0.352], [0.798, 0.065, 0.156], [0.386, 0.597, 0.352], [0.298, 0.935, 0.156], [0.759, 0.771, 0.998], [0.633, 0.111, 0.889], [0.259, 0.229, 0.998], [0.519, 0.608, 0.818], [0.326, 0.420, 0.838], [0.478, 0.887, 0.750], [0.318, 0.079, 0.816], [0.133, 0.889, 0.889], [0.019, 0.392, 0.818], [0.413, 0.422, 0.626], [0.432, 0.132, 0.630], [0.210, 0.614, 0.639], [0.826, 0.580, 0.838], [0.978, 0.113, 0.750], [0.818, 0.921, 0.816], [0.141, 0.271, 0.614], [0.913, 0.578, 0.626], [0.932, 0.868, 0.630], [0.379, 0.279, 0.387], [0.710, 0.386, 0.639], [0.263, 0.604, 0.342], [0.641, 0.729, 0.614], [0.137, 0.095, 0.407], [0.086, 0.397, 0.369], [0.879, 0.721, 0.387], [0.200, 0.067, 0.190], [0.039, 0.872, 0.258], [0.154, 0.399, 0.148], [0.763, 0.396, 0.342], [0.637, 0.905, 0.407], [0.586, 0.603, 0.369], [0.959, 0.581, 0.176], [0.901, 0.117, 0.155], [0.700, 0.933, 0.190], [0.539, 0.128, 0.258], [0.654, 0.601, 0.148], [0.459, 0.419, 0.176], [0.401, 0.883, 0.155]],
  "volume_a3_per_cell": 741.37,
  "space_group": "Pc, No. 7",
  "crystal_system": "monoclinic"
}

[13]
{
  "formula": "KInC3",
  "functional": "GGA-PBEsol",
  "state": "relaxed",
  "lattice": [[4.447, 0.000, 0.000], [0.000, 4.447, 0.000], [0.000, 0.000, 4.447]],
  "species": ["K", "C", "C", "C", "In"],
  "frac_coords": [[0.500, 0.500, 0.500], [0.000, 0.500, 0.000], [0.000, 0.000, 0.500], [0.500, 0.000, 0.000], [0.000, 0.000, 0.000]],
  "volume_a3_per_cell": 87.94,
  "space_group": "Pm-3m, No. 221",
  "formation_energy_kj_per_mol_fu": 1346.4,
  "crystal_system": "cubic"
}

[14]
{
  "formula": "YAl20Cr2",
  "functional": "GGA-PBEsol",
  "state": "relaxed",
  "lattice": [[10.205, 0.000, 0.000], [5.103, 8.838, 0.000], [5.103, 2.946, 8.333]],
  "species": ["Y", "Y", "Al", "Al", "Al", "Al", "Al", "Al", "Al", "Al", "Al", "Al", "Al", "Al", "Al", "Al", "Al", "Al", "Al", "Al", "Al", "Al", "Al", "Al", "Al", "Al", "Al", "Al", "Al", "Al", "Al", "Al", "Al", "Al", "Al", "Al", "Al", "Al", "Al", "Al", "Al", "Al", "Cr", "Cr", "Cr", "Cr"],
  "frac_coords": [[0.000, 0.000, 0.000], [0.250, 0.250, 0.250], [0.637, 0.637, 0.363], [0.363, 0.363, 0.637], [0.637, 0.363, 0.637], [0.363, 0.637, 0.363], [0.637, 0.363, 0.363], [0.363, 0.637, 0.637], [0.613, 0.613, 0.887], [0.887, 0.887, 0.613], [0.613, 0.887, 0.613], [0.887, 0.613, 0.887], [0.613, 0.887, 0.887], [0.887, 0.613, 0.613], [0.334, 0.799, 0.799], [0.799, 0.334, 0.068], [0.799, 0.068, 0.334], [0.068, 0.799, 0.799], [0.334, 0.068, 0.799], [0.799, 0.799, 0.334], [0.799, 0.799, 0.068], [0.068, 0.334, 0.799], [0.334, 0.799, 0.068], [0.799, 0.068, 0.799], [0.799, 0.334, 0.799], [0.068, 0.799, 0.334], [0.916, 0.451, 0.451], [0.451, 0.916, 0.182], [0.451, 0.182, 0.916], [0.182, 0.451, 0.451], [0.916, 0.182, 0.451], [0.451, 0.451, 0.916], [0.451, 0.451, 0.182], [0.182, 0.916, 0.451], [0.916, 0.451, 0.182], [0.451, 0.182, 0.451], [0.451, 0.916, 0.451], [0.182, 0.451, 0.916], [0.125, 0.125, 0.125], [0.125, 0.125, 0.625], [0.125, 0.625, 0.125], [0.625, 0.125, 0.125], [0.625, 0.625, 0.625], [0.625, 0.625, 0.125], [0.625, 0.125, 0.625], [0.125, 0.625, 0.625]],
  "volume_a3_per_cell": 751.54,
  "space_group": "Fd-3m, No. 227",
  "formation_energy_kj_per_mol_fu": -308.2,
  "crystal_system": "cubic"
}

[15]
{
  "formula": "KBa2IO6",
  "functional": "GGA-PBEsol",
  "state": "relaxed",
  "lattice": [[-3.417, 1.539, -4.799], [-5.931, 1.166, 0.734], [-2.075, 5.697, -0.559]],
  "species": ["I", "K", "Ba", "Ba", "O", "O", "O", "O", "O", "O"],
  "frac_coords": [[0.000, 0.000, 0.000], [0.500, 0.500, 0.500], [0.250, 0.250, 0.250], [0.750, 0.750, 0.750], [0.781, 0.219, 0.219], [0.219, 0.781, 0.781], [0.781, 0.219, 0.781], [0.219, 0.781, 0.219], [0.781, 0.781, 0.219], [0.219, 0.219, 0.781]],
  "volume_a3_per_cell": 159.64,
  "space_group": "Fm-3m, No. 225",
  "crystal_system": "cubic"
}

[16]
{
  "formula": "AlGeC2F",
  "functional": "GGA-PBEsol",
  "state": "relaxed",
  "lattice": [[3.835, 0.000, 0.000], [0.000, 3.907, 0.000], [0.000, 0.000, 3.907]],
  "species": ["C", "C", "Ge", "Al", "F"],
  "frac_coords": [[0.000, 0.000, 0.500], [0.000, 0.500, 0.000], [0.000, 0.000, 0.000], [0.500, 0.500, 0.500], [0.500, 0.000, 0.000]],
  "volume_a3_per_cell": 58.55,
  "space_group": "P4/mmm, No. 123",
  "crystal_system": "tetragonal"
}

[17]
{
  "formula": "ZrCu2Si",
  "functional": "GGA-PBEsol",
  "state": "relaxed",
  "lattice": [[2.937, 0.000, 0.000], [-1.469, 4.098, 0.020], [0.000, -0.998, 4.864]],
  "species": ["Cu", "Cu", "Si", "Zr"],
  "frac_coords": [[0.737, 0.475, 0.699], [0.263, 0.525, 0.301], [0.000, 0.000, 0.500], [0.500, 0.000, 0.000]],
  "volume_a3_per_cell": 58.61,
  "space_group": "C2/m, No. 12",
  "crystal_system": "monoclinic"
}

In order of appearance, raw total energy = -5.824 -4.729 -8.488 -4.333 -4.704 -4.596 -7.993 -3.213 -5.502 -4.996 -6.555 -7.324 -3.819 -4.884 -5.647 -5.065 -6.041 eV per atom.
In order of appearance, total moment = 2.5 0.0 0.0 2.4 0.0 0.0 0.0 0.0 0.0 0.0 0.0 6.0 0.0 3.5 0.0 0.0 0.0 μB per cell.
In order of appearance, Fermi-level density of states = 4.51 3.11 2.79 4.50 2.73 3.95 0.00 4.11 3.74 5.30 2.88 12.33 3.43 22.49 0.00 1.63 1.63 states/eV per cell.